Crystalline HgIr2 at its relaxed geometry. Source: Alexandria, functional PBE.

Lattice parameters (Å, degrees): 8.6129 8.6129 4.3635 90.00 90.00 161.13
Fractional coordinates of all 6 atoms:
1 Ir 0.3634 0.6366 0.2500
2 Ir 0.2680 0.7320 0.7500
3 Hg 0.9392 0.0608 0.7500
4 Ir 0.7320 0.2680 0.2500
5 Hg 0.0608 0.9392 0.2500
6 Ir 0.6366 0.3634 0.7500

The value obtained for the calculated total energy is -33.509 eV per cell.



Crystalline HgIr at its relaxed geometry. Source: Alexandria, functional PBE.

Lattice parameters (Å, degrees): 10.3200 10.3200 2.8170 90.00 90.00 90.00
Fractional coordinates of all 16 atoms:
1 Hg 0.1535 0.1535 0.0000
2 Ir 0.5000 0.1569 0.0000
3 Hg 0.8465 0.1535 0.0000
4 Hg 0.8465 0.8465 0.0000
5 Ir 0.0000 0.6569 0.5000
6 Ir 0.1569 0.5000 0.0000
7 Hg 0.3465 0.6535 0.5000
8 Hg 0.1535 0.8465 0.0000
9 Ir 0.6569 0.0000 0.5000
10 Ir 0.8431 0.5000 0.0000
11 Ir 0.5000 0.8431 0.0000
12 Hg 0.3465 0.3465 0.5000
13 Hg 0.6535 0.3465 0.5000
14 Hg 0.6535 0.6535 0.5000
15 Ir 0.3431 0.0000 0.5000
16 Ir 0.0000 0.3431 0.5000

The value obtained for the calculated total energy is -68.052 eV per cell.



Crystalline HgIr at its relaxed geometry. Source: Alexandria, functional PBE.

Lattice parameters (Å, degrees): 7.5761 7.5761 4.8610 90.00 90.00 157.84
Fractional coordinates of all 6 atoms:
1 Ir 0.1153 0.8847 0.5000
2 Ir 0.4609 0.5391 0.5000
3 Hg 0.7825 0.2175 0.5000
4 Hg 0.3234 0.6766 0.0000
5 Ir 0.6557 0.3443 0.0000
6 Hg 0.9955 0.0045 0.0000

The value obtained for the calculated total energy is -24.117 eV per cell.



Here are the calculated calculated formation energy numbers, same order: 122; 63; 108 (kJ/mol of formula units).